# 1
The following is a DFT calculation (PBE) of crystalline Na2MgAg at its relaxed geometry.

Computed properties:
For the formation energy from the elements, the calculation gives 0.040 eV/atom. The total moment is 0.000 μB/f.u.

Unit cell a=5.1609 b=4.3295 c=4.3295 alpha=90.00 beta=90.00 gamma=90.00
Fractional coordinates of all 4 atoms:
Na1 0.0000 0.0000 0.5000
Na2 0.0000 0.5000 0.0000
Mg1 0.5000 0.0000 0.0000
Ag1 0.5000 0.5000 0.5000

***

# 2
The following is a DFT calculation (PBE) of crystalline NaCoN at its relaxed geometry.

Computed properties:
The excess energy over the best structure of this formula in the dataset is 137 meV/atom. The total moment is 0.000 μB/f.u. The calculation puts the uncorrected formation energy at 17 meV per atom.

Unit cell a=2.9778 b=2.9778 c=4.9423 alpha=90.00 beta=90.00 gamma=120.00
Fractional coordinates of all 3 atoms:
Na1 0.0000 0.0000 0.0507
Co1 0.3333 0.6667 0.5362
N1 0.6667 0.3333 0.4130

***

# 3
The following is a DFT calculation (PBE) of crystalline PmHoTm3 at its relaxed geometry.

Computed properties:
For the formation energy from the elements, the calculation gives 0.004 eV/atom. The excess energy over the best structure of this formula in the dataset is 0 meV/atom. The total moment is 0.000 μB/f.u.

Unit cell a=6.2335 b=9.1278 c=11.7643 alpha=110.03 beta=90.00 gamma=90.00
Fractional coordinates of all 20 atoms:
Pm1 0.8316 0.4484 0.5994
Pm2 0.6684 0.9484 0.0994
Pm3 0.3316 0.0516 0.9006
Pm4 0.1684 0.5516 0.4006
Ho1 0.3328 0.4511 0.0990
Ho2 0.1672 0.9511 0.5990
Ho3 0.8328 0.0489 0.4010
Ho4 0.6672 0.5489 0.9010
Tm1 0.6658 0.3494 0.2976
Tm2 0.8336 0.6503 0.2009
Tm3 0.8342 0.8494 0.7976
Tm4 0.6652 0.7522 0.5000
Tm5 0.6664 0.1503 0.7009
Tm6 0.1652 0.7478 0.0000
Tm7 0.8348 0.2522 0.0000
Tm8 0.3336 0.8497 0.2991
Tm9 0.3348 0.2478 0.5000
Tm10 0.1658 0.1506 0.2024
Tm11 0.1664 0.3497 0.7991
Tm12 0.3342 0.6506 0.7024

***

# 4
The following is a DFT calculation (PBE) of crystalline CeAgHg4 at its relaxed geometry.

Computed properties:
For the formation energy from the elements, the calculation gives -0.151 eV/atom. The total moment is 1.126 μB/f.u.

Unit cell a=5.0980 b=7.1842 c=8.5426 alpha=90.00 beta=107.36 gamma=90.00
Fractional coordinates of all 12 atoms:
Ce1 0.8323 0.9299 0.6646
Ce2 0.1677 0.4299 0.3354
Ag1 0.6601 0.7216 0.3203
Ag2 0.3399 0.2216 0.6797
Hg1 0.9734 0.2668 0.9469
Hg2 0.0266 0.7668 0.0531
Hg3 0.4729 0.9622 0.9458
Hg4 0.5271 0.4622 0.0542
Hg5 0.7955 0.4215 0.5910
Hg6 0.2045 0.9215 0.4090
Hg7 0.6494 0.1314 0.2988
Hg8 0.3506 0.6314 0.7012

***

# 5
The following is a DFT calculation (PBE) of crystalline Cu3HgS at its relaxed geometry.

Computed properties:
The excess energy over the best structure of this formula in the dataset is 0 meV/atom. The total moment is 0.000 μB/f.u. The calculation puts the uncorrected formation energy at 221 meV per atom.

Unit cell a=4.4448 b=4.4448 c=4.4448 alpha=90.00 beta=90.00 gamma=90.00
Fractional coordinates of all 5 atoms:
S1 0.0000 0.0000 0.0000
Hg1 0.5000 0.5000 0.5000
Cu1 0.0000 0.5000 0.0000
Cu2 0.0000 0.0000 0.5000
Cu3 0.5000 0.0000 0.0000

***

# 6
The following is a DFT calculation (PBE) of crystalline Al2OsW at its relaxed geometry.

Computed properties:
For the formation energy from the elements, the calculation gives -0.028 eV/atom. The excess energy over the best structure of this formula in the dataset is 235 meV/atom. The total moment is 0.000 μB/f.u.

Unit cell a=2.7741 b=2.7741 c=8.5145 alpha=90.00 beta=90.00 gamma=114.01
Fractional coordinates of all 4 atoms:
Os1 0.5000 0.5000 0.2500
Al1 0.0000 0.0000 0.0096
Al2 0.0000 0.0000 0.4904
W1 0.5000 0.5000 0.7500

***

# 7
The following is a DFT calculation (PBE) of crystalline SmThScTc at its relaxed geometry.

Computed properties:
For the formation energy from the elements, the calculation gives 0.136 eV/atom. The total moment is 0.000 μB/f.u.

Unit cell a=5.1611 b=5.1611 c=5.1611 alpha=60.00 beta=60.00 gamma=60.00
Fractional coordinates of all 4 atoms:
Sc1 0.0000 0.0000 0.0000
Sm1 0.7500 0.7500 0.7500
Th1 0.2500 0.2500 0.2500
Tc1 0.5000 0.5000 0.5000

***

# 8
The following is a DFT calculation (PBE) of crystalline ThSn4Pd2 at its relaxed geometry.

Computed properties:
For the formation energy from the elements, the calculation gives -0.499 eV/atom. The total moment is 0.000 μB/f.u.

Unit cell a=4.5283 b=7.2685 c=19.8535 alpha=90.00 beta=90.00 gamma=90.00
Fractional coordinates of all 28 atoms:
Th1 0.7500 0.0347 0.6377
Th2 0.2500 0.9653 0.3623
Th3 0.2500 0.5347 0.8623
Th4 0.7500 0.4653 0.1377
Sn1 0.2500 0.3008 0.7023
Sn2 0.7500 0.6992 0.2977
Sn3 0.7500 0.8008 0.7977
Sn4 0.2500 0.1992 0.2023
Sn5 0.2500 0.7262 0.6811
Sn6 0.7500 0.2738 0.3189
Sn7 0.7500 0.2262 0.8189
Sn8 0.2500 0.7738 0.1811
Sn9 0.2500 0.1391 0.5261
Sn10 0.7500 0.8609 0.4739
Sn11 0.7500 0.6391 0.9739
Sn12 0.2500 0.3609 0.0261
Sn13 0.2500 0.4941 0.4320
Sn14 0.7500 0.5059 0.5680
Sn15 0.7500 0.9941 0.0680
Sn16 0.2500 0.0059 0.9320
Pd1 0.2500 0.7489 0.5408
Pd2 0.7500 0.2511 0.4592
Pd3 0.7500 0.2489 0.9592
Pd4 0.2500 0.7511 0.0408
Pd5 0.2500 0.0031 0.7897
Pd6 0.7500 0.9970 0.2103
Pd7 0.7500 0.5030 0.7103
Pd8 0.2500 0.4970 0.2897

***

# 9
The following is a DFT calculation (PBE) of crystalline GaSn2Br5 at its relaxed geometry.

Computed properties:
The total moment is 0.000 μB/f.u. The calculation puts the uncorrected formation energy at -696 meV per atom.

Unit cell a=5.9907 b=7.5859 c=15.0741 alpha=90.00 beta=90.00 gamma=113.26
Fractional coordinates of all 16 atoms:
Ga1 0.7760 0.5519 0.7500
Ga2 0.2240 0.4481 0.2500
Sn1 0.8582 0.7164 0.4418
Sn2 0.8582 0.7164 0.0582
Sn3 0.1418 0.2836 0.5582
Sn4 0.1418 0.2836 0.9418
Br1 0.9476 0.8951 0.8819
Br2 0.9476 0.8951 0.6181
Br3 0.3362 0.6724 0.4419
Br4 0.3362 0.6724 0.0581
Br5 0.7846 0.5692 0.2500
Br6 0.2154 0.4308 0.7500
Br7 0.6638 0.3276 0.5581
Br8 0.6638 0.3276 0.9419
Br9 0.0524 0.1049 0.1181
Br10 0.0524 0.1049 0.3819

***

# 10
The following is a DFT calculation (PBE) of crystalline TbEr5Tm2In at its relaxed geometry.

Computed properties:
For the formation energy from the elements, the calculation gives 0.002 eV/atom. The total moment is 0.001 μB/f.u.

Unit cell a=5.2996 b=10.3162 c=10.3849 alpha=90.00 beta=90.00 gamma=104.88
Fractional coordinates of all 18 atoms:
Tb1 0.7931 0.5863 0.5083
Tb2 0.2069 0.4137 0.0083
Er1 0.3824 0.7648 0.0082
Er2 0.7109 0.4218 0.8081
Er3 0.5000 0.9999 0.7581
Er4 0.2893 0.5786 0.7084
Er5 0.9894 0.9787 0.5083
Er6 0.6176 0.2352 0.5082
Er7 0.2891 0.5782 0.3081
Er8 0.5000 0.0001 0.2581
Er9 0.7107 0.4214 0.2084
Er10 0.0106 0.0213 0.0083
Tm1 0.8839 0.7679 0.7975
Tm2 0.1161 0.2323 0.7191
Tm3 0.1161 0.2321 0.2975
Tm4 0.8839 0.7677 0.2191
In1 0.5953 0.1906 0.0079
In2 0.4047 0.8094 0.5079

***

# 11
The following is a DFT calculation (PBE) of crystalline KRb2SO4 at its relaxed geometry.

Computed properties:
The total moment is 0.000 μB/f.u. The calculation puts the uncorrected formation energy at -1457 meV per atom.

Unit cell a=6.3067 b=6.3067 c=6.3067 alpha=103.38 beta=112.60 gamma=112.60
Fractional coordinates of all 8 atoms:
K1 0.5000 0.2500 0.7500
Rb1 0.5000 0.7500 0.2500
Rb2 0.0000 0.0000 0.0000
S1 0.0000 0.5000 0.5000
O1 0.7539 0.4754 0.5035
O2 0.0281 0.2786 0.5246
O3 0.9719 0.4965 0.2504
O4 0.2461 0.7496 0.7215

***

# 12
The following is a DFT calculation (PBE) of crystalline Pm4RuSeI2 at its relaxed geometry.

Computed properties:
The total moment is 0.000 μB/f.u. The calculation puts the uncorrected formation energy at -1016 meV per atom.

Unit cell a=4.1385 b=7.6732 c=8.1666 alpha=106.12 beta=90.00 gamma=90.00
Fractional coordinates of all 8 atoms:
Pm1 0.5000 0.2539 0.1887
Pm2 0.5000 0.7461 0.8113
Pm3 0.0000 0.2938 0.8132
Pm4 0.0000 0.7062 0.1868
Ru1 0.5000 0.5000 0.0000
Se1 0.0000 0.0000 0.0000
I1 0.5000 0.0000 0.5000
I2 0.0000 0.5000 0.5000

***

# 13
The following is a DFT calculation (PBE) of crystalline TbPmSe2 at its relaxed geometry.

Computed properties:
The excess energy over the best structure of this formula in the dataset is 422 meV/atom. The total moment is 0.000 μB/f.u. The calculation puts the uncorrected formation energy at -1384 meV per atom.

Unit cell a=4.3367 b=6.5267 c=9.3439 alpha=90.00 beta=89.99 gamma=90.01
Fractional coordinates of all 8 atoms:
Tb1 0.2009 0.9287 0.1932
Tb2 0.7010 0.4286 0.0229
Pm1 0.2012 0.8041 0.7689
Pm2 0.7009 0.3043 0.4470
Se1 0.7008 0.6625 0.2715
Se2 0.7012 0.5380 0.7136
Se3 0.2009 0.0381 0.5024
Se4 0.2010 0.1624 0.9444

***

# 14
The following is a DFT calculation (PBE) of crystalline Dy4CdRu2 at its relaxed geometry.

Computed properties:
For the formation energy from the elements, the calculation gives -0.224 eV/atom. The total moment is 0.000 μB/f.u.

Unit cell a=7.6018 b=7.6018 c=7.6018 alpha=108.98 beta=110.46 gamma=108.98
Fractional coordinates of all 14 atoms:
Dy1 0.1538 0.8963 0.3987
Dy2 0.6013 0.7551 0.4976
Dy3 0.0074 0.6037 0.7524
Dy4 0.2476 0.2551 0.8513
Dy5 0.5962 0.7449 0.9926
Dy6 0.7426 0.2449 0.8462
Dy7 0.5024 0.1037 0.2574
Dy8 0.1487 0.3963 0.4038
Cd1 0.0000 0.0000 0.0000
Cd2 0.7500 0.5000 0.2500
Ru1 0.8750 0.1071 0.4821
Ru2 0.5179 0.3929 0.6250
Ru3 0.3750 0.8929 0.7679
Ru4 0.2321 0.6071 0.1250

***

# 15
The following is a DFT calculation (PBE) of crystalline CaCu2As at its relaxed geometry.

Computed properties:
For the formation energy from the elements, the calculation gives -0.035 eV/atom. The total moment is 0.000 μB/f.u.

Unit cell a=3.5148 b=3.5154 c=5.9116 alpha=90.00 beta=90.00 gamma=90.00
Fractional coordinates of all 4 atoms:
As1 0.5000 0.5000 0.2500
Ca1 0.5000 0.5000 0.7500
Cu1 0.0000 0.0000 0.0390
Cu2 0.0000 0.0000 0.4610

***

# 16
The following is a DFT calculation (PBE) of crystalline CaOs2W at its relaxed geometry.

Computed properties:
For the formation energy from the elements, the calculation gives 0.628 eV/atom. The excess energy over the best structure of this formula in the dataset is 366 meV/atom. The total moment is 0.000 μB/f.u.

Unit cell a=4.6074 b=2.7800 c=5.3284 alpha=78.39 beta=90.00 gamma=90.00
Fractional coordinates of all 4 atoms:
Ca1 0.5000 0.7316 0.7614
Os1 0.0000 0.0043 0.9907
Os2 0.5000 0.2948 0.2661
W1 0.0000 0.4692 0.4818

***

# 17
The following is a DFT calculation (PBE) of crystalline Li2Pd8Pt3 at its relaxed geometry.

Computed properties:
For the formation energy from the elements, the calculation gives -0.014 eV/atom. The excess energy over the best structure of this formula in the dataset is 0 meV/atom. The total moment is 0.000 μB/f.u.

Unit cell a=4.8718 b=7.2296 c=7.2296 alpha=60.96 beta=72.64 gamma=72.64
Fractional coordinates of all 13 atoms:
Li1 0.5690 0.1921 0.1921
Li2 0.4310 0.8079 0.8079
Pd1 0.8288 0.6099 0.6099
Pd2 0.1712 0.3901 0.3901
Pd3 0.0464 0.1997 0.1997
Pd4 0.9536 0.8003 0.8003
Pd5 0.6629 0.5646 0.2004
Pd6 0.6629 0.2004 0.5646
Pd7 0.3371 0.7996 0.4354
Pd8 0.3371 0.4354 0.7996
Pt1 0.5000 0.0000 0.0000
Pt2 0.0000 0.1790 0.8210
Pt3 0.0000 0.8210 0.1790

***

# 18
The following is a DFT calculation (PBE) of crystalline LaNb2Pt at its relaxed geometry.

Computed properties:
For the formation energy from the elements, the calculation gives 0.021 eV/atom. The excess energy over the best structure of this formula in the dataset is 0 meV/atom. The total moment is 0.000 μB/f.u.

Unit cell a=4.7679 b=4.7679 c=4.7679 alpha=60.00 beta=60.00 gamma=60.00
Fractional coordinates of all 4 atoms:
Nb1 0.2500 0.2500 0.2500
Nb2 0.7500 0.7500 0.7500
Pt1 0.5000 0.5000 0.5000
La1 0.0000 0.0000 0.0000

***

# 19
The following is a DFT calculation (PBE) of crystalline Ho2Er5 at its relaxed geometry.

Computed properties:
For the formation energy from the elements, the calculation gives -0.002 eV/atom. The total moment is 0.000 μB/f.u.

Unit cell a=6.2004 b=9.0709 c=8.3232 alpha=95.82 beta=111.87 gamma=90.00
Fractional coordinates of all 14 atoms:
Ho1 0.2615 0.3928 0.8570
Ho2 0.4046 0.1072 0.1430
Ho3 0.7385 0.6072 0.1430
Ho4 0.5954 0.8928 0.8570
Er1 0.3095 0.4643 0.2861
Er2 0.0234 0.0357 0.7139
Er3 0.1192 0.6785 0.5714
Er4 0.5478 0.8215 0.4286
Er5 0.8808 0.3215 0.4286
Er6 0.4522 0.1785 0.5714
Er7 0.9766 0.9643 0.2861
Er8 0.6905 0.5357 0.7139
Er9 0.8332 0.2500 0.0000
Er10 0.1668 0.7500 0.0000

***

# 20
The following is a DFT calculation (PBE) of crystalline POsAuO2 at its relaxed geometry.

Computed properties:
The excess energy over the best structure of this formula in the dataset is 0 meV/atom. The total moment is 0.005 μB/f.u. The calculation puts the uncorrected formation energy at -348 meV per atom.

Unit cell a=3.7156 b=3.7156 c=5.4117 alpha=90.00 beta=90.00 gamma=90.00
Fractional coordinates of all 5 atoms:
Os1 0.0000 0.0000 0.0000
Au1 0.5000 0.5000 0.5000
O1 0.0000 0.5000 0.0000
O2 0.5000 0.0000 0.0000
P1 0.0000 0.0000 0.5000